P | VASP calculation (meta-GGA SCAN) on a PBEsol-optimized structure of Zr2TaAg.

Computed properties:
As for the space group: P4/mmm. The value obtained for the density of states at the Fermi level is 4.2 states/eV/cell. The value obtained for the density is 10181 kg/m³. As for the crystal system: tetragonal.

Unit cell a=3.4108 b=4.7471 c=4.7471 alpha=90.00 beta=90.00 gamma=90.00
Last column: nearest neighbours and their distance in Å.
Fractional positions:
Zr: 0.0000 0.5000 0.0000  4 Ta 2.92, 4 Ag 2.92
Zr: 0.0000 0.0000 0.5000  4 Ta 2.92, 4 Ag 2.92
Ag: 0.5000 0.5000 0.5000  8 Zr 2.92
Ta: 0.5000 0.0000 0.0000  8 Zr 2.92


Q | VASP calculation (meta-GGA SCAN) on a PBEsol-optimized structure of Zr2TaAg.

Computed properties:
As for the space group: Pmm2. The value obtained for the density of states at the Fermi level is 3.4 states/eV/cell. The value obtained for the density is 10180 kg/m³. As for the crystal system: orthorhombic.

Unit cell a=3.0735 b=3.8546 c=6.4888 alpha=90.00 beta=90.00 gamma=90.00
Last column: nearest neighbours and their distance in Å.
Fractional positions:
Ta: 0.5000 0.5000 0.7440  4 Ag 2.90, 5 Zr 2.93-3.14, 2 Ta 3.07
Zr: 0.0000 0.0000 0.9890  4 Ta 2.93, 6 Zr 3.03-3.07, 1 Ag 3.13
Zr: 0.5000 0.5000 0.2598  4 Ag 2.94, 6 Zr 3.03-3.07, 1 Ta 3.14
Ag: 0.0000 0.0000 0.5071  4 Ta 2.90, 5 Zr 2.94-3.13, 2 Ag 3.07


R | VASP calculation (meta-GGA SCAN) on a PBEsol-optimized structure of Zr2TaAg.

Computed properties:
As for the space group: Pmmm. The value obtained for the density of states at the Fermi level is 3.5 states/eV/cell. The value obtained for the density is 9982 kg/m³. As for the crystal system: orthorhombic.

Unit cell a=3.1410 b=3.5378 c=7.0553 alpha=90.00 beta=90.00 gamma=90.00
Last column: nearest neighbours and their distance in Å.
Fractional positions:
Zr: 0.0000 0.0000 0.7427  4 Ta 2.92, 4 Ag 2.98, 2 Zr 3.14
Zr: 0.0000 0.0000 0.2573  4 Ta 2.92, 4 Ag 2.98, 2 Zr 3.14
Ag: 0.5000 0.5000 0.0000  8 Zr 2.98, 2 Ag 3.14
Ta: 0.5000 0.5000 0.5000  8 Zr 2.92, 2 Ta 3.14


Most stable structure, least stable structure: R, Q.